Entry from Alexandria via LeMat-Bulk: ZnBPd6 after structural relaxation (PBE-GGA).

```
ZnBPd6
1.0
-5.237 1.501 -0.400
-3.520 -3.092 -2.792
-3.930 -2.966 2.899
Pd B Zn
6 1 1
Cartesian
-4.618 -0.457 -0.083
-7.228 -1.070 1.868
-5.460 -3.487 -2.161
-4.532 -3.573 1.007
-8.155 -0.984 -1.300
-8.069 -4.100 -0.210
0.000 0.000 0.000
-6.344 -2.278 -0.147
```

Summary:
Total DFT energy (no corrections): -5.0250 eV per atom
Formation energy from the elements: -0.136 eV per atom
Space-group type: No. 2

Entry from Alexandria via LeMat-Bulk: InTePt after structural relaxation (PBE-GGA).

```
InTePt
1.0
-4.706 0.730 -4.730
-5.758 -1.868 -2.899
-2.322 1.946 1.425
Pt Te In
1 1 1
Cartesian
-4.974 0.942 -1.525
-8.025 -0.214 -4.918
-10.250 -1.057 -7.391
```

Summary:
Total DFT energy (no corrections): -3.9720 eV per atom
Space-group type: No. 107
Raw formation energy: 0.002 eV per atom

Entry from Alexandria via LeMat-Bulk: Tm2Co3Si5 after structural relaxation (PBE-GGA).

```
Tm2Co3Si5
1.0
7.843 0.023 -0.003
0.197 7.840 0.003
-2.108 -5.886 4.735
Si Tm Co
10 4 6
Cartesian
5.337 6.176 1.184
-1.433 1.466 3.553
5.742 3.767 0.763
4.185 -0.687 3.550
-0.478 0.489 1.184
2.741 -1.206 1.603
1.747 2.664 1.184
0.594 -4.199 3.550
3.191 3.183 3.132
0.189 -1.790 3.972
4.463 1.296 1.266
1.468 0.682 3.468
5.493 -3.433 3.632
0.439 5.411 1.103
6.380 -0.720 2.871
4.200 1.508 4.230
2.389 -2.443 3.550
1.731 0.469 0.505
-0.448 2.697 1.864
3.542 4.420 1.184
```

Summary:
Total DFT energy (no corrections): -6.5069 eV per atom
Space-group type: No. 72
Raw formation energy: -0.769 eV per atom

Entry from Alexandria via LeMat-Bulk: LaMnSiBi after structural relaxation (PBE-GGA).

```
LaMnSiBi
1.0
4.039 0.000 0.000
0.000 4.194 0.000
0.000 0.000 11.350
Bi Mn La Si
2 2 2 2
Cartesian
2.019 0.000 2.050
2.019 2.097 7.725
0.000 0.000 8.621
0.000 2.097 2.946
0.000 0.000 5.397
0.000 2.097 11.072
2.019 2.097 4.425
2.019 0.000 10.100
```

Summary:
Total DFT energy (no corrections): -6.0471 eV per atom
Energy above the most stable polymorph in this dataset: 114 meV/atom
Space-group type: No. 38
Raw formation energy: -0.197 eV per atom

Entry from Alexandria via LeMat-Bulk: BeAlSe after structural relaxation (PBE-GGA).

```
BeAlSe
1.0
4.689 0.000 0.000
-2.344 4.061 0.000
0.000 0.000 2.625
Se Al Be
1 1 1
Cartesian
2.344 1.354 1.708
0.000 0.000 2.096
0.000 2.707 1.445
```

Summary:
Total DFT energy (no corrections): -3.1838 eV per atom
Energy above the most stable polymorph in this dataset: 664 meV/atom
Space-group type: No. 156
Raw formation energy: 0.467 eV per atom

Entry from Alexandria via LeMat-Bulk: GePb2N2 after structural relaxation (PBE-GGA).

```
GePb2N2
1.0
7.175 0.000 0.000
0.000 7.175 0.000
0.000 0.000 3.572
N Pb Ge
4 4 2
Cartesian
1.420 2.168 0.000
2.168 5.755 0.000
5.008 1.420 0.000
5.755 5.008 0.000
4.695 6.068 1.786
6.068 2.480 1.786
1.108 4.695 1.786
2.480 1.108 1.786
0.000 0.000 0.000
3.588 3.588 0.000
```

Summary:
Total DFT energy (no corrections): -4.7627 eV per atom
Energy above the most stable polymorph in this dataset: 605 meV/atom
Space-group type: No. 127
Raw formation energy: 0.974 eV per atom

Entry from Alexandria via LeMat-Bulk: Ce2CdIn2 after structural relaxation (PBE-GGA).

```
Ce2CdIn2
1.0
1.481 -3.101 5.286
4.176 -4.777 -0.212
8.868 1.677 2.260
Ce In Cd
4 4 2
Cartesian
11.922 -4.215 4.538
5.766 -3.432 4.821
2.603 -1.987 2.796
8.758 -2.769 2.512
5.867 -1.038 2.475
8.658 -5.163 4.858
3.140 -3.466 -0.121
11.384 -2.735 7.454
8.879 -2.418 5.870
5.645 -3.784 1.463
```

Summary:
Total DFT energy (no corrections): -3.8991 eV per atom
Formation energy from the elements: -0.247 eV per atom
Energy above the most stable polymorph in this dataset: 15 meV/atom
Space-group type: No. 15

Entry from Alexandria via LeMat-Bulk: Dy3CuPd12 after structural relaxation (PBE-GGA).

```
Dy3CuPd12
1.0
-0.806 3.021 -2.642
-2.663 -2.418 -1.953
-11.836 5.262 9.628
Pd Dy Cu
12 3 1
Cartesian
-1.735 0.301 -2.297
-4.599 1.575 0.033
-4.794 3.463 2.251
-7.848 4.820 4.735
-10.901 6.178 7.219
-11.830 3.458 7.563
-8.776 2.101 5.079
-2.669 -0.615 0.111
-7.652 2.932 2.517
-1.740 2.105 -0.233
-5.723 0.743 2.596
-10.706 4.290 5.000
-2.863 1.273 2.329
-5.918 2.631 4.814
-8.973 3.989 7.299
0.000 0.000 0.000
```

Summary:
Total DFT energy (no corrections): -5.6678 eV per atom
Formation energy from the elements: -0.654 eV per atom
Space-group type: No. 123

Entry from Alexandria via LeMat-Bulk: Zr5TcPd4 after structural relaxation (PBE-GGA).

```
Zr5TcPd4
1.0
-2.763 1.739 -0.224
-0.793 -1.613 -2.734
-8.335 -12.019 9.509
Pd Zr Tc
4 5 1
Cartesian
-3.348 -4.829 3.820
-4.987 -7.191 5.689
-1.605 -2.314 1.831
-6.730 -9.706 7.679
-4.253 -3.507 1.344
-5.946 -5.947 3.275
-2.546 -1.045 -0.603
-7.638 -8.387 5.206
-9.345 -10.849 7.154
0.000 0.000 0.000
```

Summary:
Total DFT energy (no corrections): -7.9622 eV per atom
Formation energy from the elements: -0.574 eV per atom
Space-group type: No. 123

Entry from Alexandria via LeMat-Bulk: CsScGe2 after structural relaxation (PBE-GGA).

```
CsScGe2
1.0
5.702 0.000 0.000
0.000 5.702 0.000
2.851 2.851 9.208
Sc Ge Cs
2 4 2
Cartesian
2.851 5.702 4.604
2.851 2.851 0.000
7.128 5.701 6.906
4.277 5.704 6.906
2.850 1.426 2.302
2.853 4.277 2.302
5.702 2.851 4.604
0.000 0.000 0.000
```

Summary:
Total DFT energy (no corrections): -4.0443 eV per atom
Formation energy from the elements: 0.061 eV per atom
Energy above the most stable polymorph in this dataset: 0 meV/atom
Space-group type: No. 141

Entry from Alexandria via LeMat-Bulk: TlSiTc2 after structural relaxation (PBE-GGA).

```
TlSiTc2
1.0
4.545 0.000 0.000
2.272 3.936 0.000
2.272 1.312 3.711
Tc Tl Si
2 1 1
Cartesian
2.272 1.312 0.928
0.000 0.000 0.000
6.817 3.936 2.783
4.545 2.624 1.855
```

Summary:
Total DFT energy (no corrections): -6.4218 eV per atom
Energy above the most stable polymorph in this dataset: 573 meV/atom
Space-group type: No. 216
Raw formation energy: 0.708 eV per atom

Entry from Alexandria via LeMat-Bulk: Ce2Pa3Se8 after structural relaxation (PBE-GGA).

```
Ce2Pa3Se8
1.0
6.942 0.000 0.213
0.000 8.265 0.000
-2.564 -4.133 7.014
Se Ce Pa
8 2 3
Cartesian
2.131 2.157 5.432
2.248 6.290 1.795
2.248 1.975 1.795
-1.414 0.000 5.442
2.131 -2.157 5.432
-1.357 4.133 5.346
5.736 0.000 1.882
5.793 4.133 1.786
3.395 4.133 3.556
0.983 0.000 3.671
3.471 0.000 0.107
0.000 2.077 0.000
0.000 6.188 0.000
```

Summary:
Total DFT energy (no corrections): -6.6907 eV per atom
Energy above the most stable polymorph in this dataset: 41 meV/atom
Space-group type: No. 12
Raw formation energy: -1.442 eV per atom